{"formula": "Pm8Ge4Br3", "functional": "GGA-PBE", "state": "optimized geometry", "dft_energy_ev_per_atom": -5.08, "magmom_total_mub_per_fu": 0.000, "e_form_raw_ev_per_atom": -0.982, "lattice": [[5.9831, -6.0221, 0.0000], [5.9831, 6.0221, 0.0000], [-5.9246, 0.0000, 5.9923]], "species": ["Pm", "Pm", "Pm", "Pm", "Pm", "Pm", "Pm", "Pm", "Ge", "Ge", "Ge", "Ge", "Br", "Br", "Br"], "fractional_positions": [[0.2395, 0.7605, 0.0000], [0.2445, 0.2445, 0.4890], [0.2471, 0.2471, 0.0148], [0.2559, 0.7441, 0.5000], [0.7441, 0.2559, 0.5000], [0.7529, 0.7529, 0.9852], [0.7555, 0.7555, 0.5110], [0.7605, 0.2395, 0.0000], [0.0000, 0.0000, 0.0000], [0.0000, 0.5000, 0.5000], [0.5000, 0.0000, 0.5000], [0.5000, 0.5000, 0.5000], [0.0000, 0.5000, 0.0000], [0.5000, 0.0000, 0.0000], [0.5000, 0.5000, 0.0000]]}